1.
This record from Alexandria describes Pu2SN2 after structural relaxation. The functional is GGA-PBE.

## Properties
Its formation energy (no corrections) is -1359 meV/atom. The crystal system is tetragonal.

a b c (Å): 6.458 6.458 6.458
angles (deg): 146.26 146.26 48.46
Fractional coordinates of all 5 atoms:
Pu (0.150, 0.150, 0.000)
Pu (0.850, 0.850, 0.000)
S (0.500, 0.500, 0.000)
N (0.250, 0.750, 0.500)
N (0.750, 0.250, 0.500)

=====

2.
This record from Alexandria describes TaMnOs after structural relaxation. The functional is GGA-PBE.

## Properties
Its energy of formation is 0.37 eV/atom. The crystal system is cubic. For the relative energy among the computed polymorphs, the calculation gives 408 meV per atom.

a b c (Å): 4.103 4.103 4.103
angles (deg): 60.00 60.00 60.00
Fractional coordinates of all 3 atoms:
Ta (0.000, 0.000, 0.000)
Mn (0.250, 0.250, 0.250)
Os (0.500, 0.500, 0.500)

=====

3.
This record from Alexandria describes Tc3Br after structural relaxation. The functional is GGA-PBE.

## Properties
Its formation energy (no corrections) is 677 meV/atom. The crystal system is orthorhombic. For the relative energy among the computed polymorphs, the calculation gives 167 meV per atom.

a b c (Å): 5.422 8.780 5.414
angles (deg): 90.00 90.00 90.00
Fractional coordinates of all 16 atoms:
Tc (0.133, 0.250, 0.177)
Tc (0.151, 0.004, 0.816)
Tc (0.151, 0.496, 0.816)
Tc (0.349, 0.504, 0.316)
Tc (0.349, 0.996, 0.316)
Tc (0.367, 0.750, 0.677)
Tc (0.633, 0.250, 0.323)
Tc (0.651, 0.004, 0.684)
Tc (0.651, 0.496, 0.684)
Tc (0.849, 0.504, 0.184)
Tc (0.849, 0.996, 0.184)
Tc (0.867, 0.750, 0.823)
Br (0.006, 0.250, 0.617)
Br (0.494, 0.750, 0.117)
Br (0.506, 0.250, 0.883)
Br (0.994, 0.750, 0.383)

=====

4.
This record from Alexandria describes NbGa2Au after structural relaxation. The functional is GGA-PBE.

## Properties
Its energy of formation is 0.05 eV/atom. The crystal system is tetragonal. For the relative energy among the computed polymorphs, the calculation gives 332 meV per atom.

a b c (Å): 5.817 5.817 5.817
angles (deg): 104.33 104.33 120.34
Fractional coordinates of all 8 atoms:
Nb (0.000, 0.000, 0.000)
Nb (0.750, 0.250, 0.500)
Ga (0.141, 0.125, 0.516)
Ga (0.375, 0.859, 0.984)
Ga (0.609, 0.625, 0.484)
Ga (0.875, 0.391, 0.016)
Au (0.250, 0.750, 0.500)
Au (0.500, 0.500, 0.000)

=====

5.
This record from Alexandria describes PuTh5Tl2 after structural relaxation. The functional is GGA-PBE.

## Properties
Its energy of formation is -0.01 eV/atom. The crystal system is orthorhombic.

a b c (Å): 6.795 6.795 6.795
angles (deg): 107.13 104.66 116.89
Fractional coordinates of all 8 atoms:
Pu (0.000, 0.000, 0.000)
Th (0.001, 0.000, 0.500)
Th (0.001, 0.501, 0.001)
Th (0.500, 0.000, 0.999)
Th (0.500, 0.500, 0.000)
Th (0.500, 0.501, 0.500)
Tl (0.000, 0.500, 0.500)
Tl (0.501, 0.001, 0.500)

=====

6.
This record from Alexandria describes NbCdTeI2 after structural relaxation. The functional is GGA-PBE.

## Properties
Its formation energy (no corrections) is 838 meV/atom. The crystal system is tetragonal. For the relative energy among the computed polymorphs, the calculation gives 792 meV per atom.

a b c (Å): 5.596 5.596 5.654
angles (deg): 90.00 90.00 90.00
Fractional coordinates of all 5 atoms:
Nb (0.000, 0.000, 0.000)
Cd (0.500, 0.500, 0.500)
Te (0.500, 0.500, 0.000)
I (0.000, 0.500, 0.500)
I (0.500, 0.000, 0.500)

=====

7.
This record from Alexandria describes K2Br4Cl after structural relaxation. The functional is GGA-PBE.

## Properties
Its formation energy (no corrections) is -803 meV/atom. The crystal system is tetragonal.

a b c (Å): 10.670 10.670 10.670
angles (deg): 152.27 152.27 39.61
Fractional coordinates of all 7 atoms:
K (0.158, 0.158, 0.000)
K (0.842, 0.842, 0.000)
Br (0.000, 0.500, 0.500)
Br (0.320, 0.320, 0.000)
Br (0.500, 0.000, 0.500)
Br (0.680, 0.680, 0.000)
Cl (0.500, 0.500, 0.000)

=====

8.
This record from Alexandria describes La2CdAg4Sn3 after structural relaxation. The functional is GGA-PBE.

## Properties
Its energy of formation is -0.40 eV/atom. The crystal system is tetragonal.

a b c (Å): 4.602 4.602 11.710
angles (deg): 90.00 90.00 90.00
Fractional coordinates of all 10 atoms:
La (0.000, 0.500, 0.238)
La (0.500, 0.000, 0.762)
Cd (0.000, 0.000, 0.500)
Ag (0.000, 0.000, 0.000)
Ag (0.000, 0.500, 0.637)
Ag (0.500, 0.000, 0.363)
Ag (0.500, 0.500, 0.000)
Sn (0.000, 0.500, 0.864)
Sn (0.500, 0.000, 0.136)
Sn (0.500, 0.500, 0.500)

=====

9.
This record from Alexandria describes BaAcTe2 after structural relaxation. The functional is GGA-PBE.

## Properties
Its formation energy (no corrections) is -1617 meV/atom. The crystal system is hexagonal. For the relative energy among the computed polymorphs, the calculation gives 19 meV per atom.

a b c (Å): 4.778 4.778 16.374
angles (deg): 90.00 90.00 120.00
Fractional coordinates of all 8 atoms:
Ba (0.333, 0.667, 0.250)
Ba (0.667, 0.333, 0.750)
Ac (0.000, 0.000, 0.000)
Ac (0.000, 0.000, 0.500)
Te (0.333, 0.667, 0.617)
Te (0.333, 0.667, 0.883)
Te (0.667, 0.333, 0.117)
Te (0.667, 0.333, 0.383)